# 1
The following is a DFT calculation (PBE) of a relaxed Nd8Ho2Th3 crystal.

extended XYZ file:
```
13
Lattice="4.998 -5.547 0.000 4.998 5.547 0.000 -3.397 0.000 8.118" Properties=species:S:1:pos:R:3 pbc="T T T"
Nd 2.297 2.851 2.590
Nd -0.274 0.000 2.779
Nd 1.315 0.000 6.364
Nd 4.301 2.851 5.527
Nd 2.297 -2.851 2.590
Nd 5.284 0.000 1.754
Nd 6.872 0.000 5.339
Nd 4.301 -2.851 5.527
Ho 2.193 0.000 0.362
Ho 4.406 0.000 7.755
Th 4.998 2.922 0.000
Th 3.299 0.000 4.059
Th 4.998 -2.922 0.000
```

E_form: 0.23 eV per atom
space-group type: No. 12

# 2
The following is a DFT calculation (PBE) of a relaxed NdHo6Th crystal.

extended XYZ file:
```
8
Lattice="5.020 0.000 0.000 0.000 5.020 0.000 0.000 0.000 10.036" Properties=species:S:1:pos:R:3 pbc="T T T"
Nd 0.000 0.000 0.000
Ho 0.000 2.510 2.550
Ho 0.000 2.510 7.487
Ho 2.510 0.000 2.550
Ho 2.510 0.000 7.487
Ho 2.510 2.510 0.000
Ho 2.510 2.510 5.018
Th 0.000 0.000 5.018
```

E_form: 0.03 eV per atom
space-group type: No. 123

# 3
The following is a DFT calculation (PBE) of a relaxed NdHo5Th3 crystal.

extended XYZ file:
```
18
Lattice="6.282 -4.116 0.000 6.282 4.116 0.000 -1.281 0.000 12.262" Properties=species:S:1:pos:R:3 pbc="T T T"
Nd 1.399 0.000 3.281
Nd 9.884 0.000 8.981
Ho 4.321 2.518 2.757
Ho 3.182 0.000 0.271
Ho 6.961 2.518 9.504
Ho 6.282 1.412 0.000
Ho 5.112 0.000 4.636
Ho 6.171 0.000 7.626
Ho 6.282 -1.412 0.000
Ho 4.321 -2.518 2.757
Ho 8.100 0.000 11.991
Ho 6.961 -2.518 9.504
Th 0.000 0.000 0.000
Th -0.641 0.000 6.131
Th 2.587 0.000 6.701
Th 3.712 0.000 9.626
Th 7.570 0.000 2.636
Th 8.695 0.000 5.561
```

E_form: 0.54 eV per atom
space-group type: No. 12

# 4
The following is a DFT calculation (PBE) of a relaxed Nd3Ho7Th crystal.

extended XYZ file:
```
11
Lattice="7.050 0.000 0.000 -3.525 6.106 0.000 0.000 0.000 8.739" Properties=species:S:1:pos:R:3 pbc="T T T"
Nd 0.000 2.058 0.000
Nd -1.743 5.077 0.000
Nd 1.743 5.077 0.000
Ho 0.000 0.000 5.759
Ho -1.741 3.065 5.751
Ho 1.757 1.014 2.935
Ho 1.741 3.065 5.751
Ho 0.000 6.080 5.751
Ho 5.293 1.014 2.935
Ho 3.525 4.077 2.935
Th 0.000 4.070 2.940
```

E_form: 0.18 eV per atom
space-group type: No. 156

# 5
The following is a DFT calculation (PBE) of a relaxed Nd6HoTh3 crystal.

extended XYZ file:
```
20
Lattice="13.361 0.000 0.000 0.000 3.529 0.000 -0.877 0.000 14.530" Properties=species:S:1:pos:R:3 pbc="T T T"
Nd 0.484 0.882 2.802
Nd 0.224 0.882 8.779
Nd 2.302 2.647 11.488
Nd 3.608 2.647 2.925
Nd 4.036 0.882 14.367
Nd 5.177 2.647 6.029
Nd 7.307 0.882 8.502
Nd 8.447 2.647 0.164
Nd 8.875 0.882 11.605
Nd 10.181 0.882 3.042
Nd 12.260 2.647 5.752
Nd 12.000 2.647 11.729
Ho 5.681 2.647 11.423
Ho 6.803 0.882 3.107
Th 0.681 2.647 14.474
Th 2.096 0.882 5.856
Th 3.809 0.882 8.879
Th 8.675 2.647 5.651
Th 10.388 2.647 8.675
Th 11.802 0.882 0.056
```

E_form: 0.12 eV per atom
space-group type: No. 11

# 6
The following is a DFT calculation (PBE) of a relaxed Nd6Ho12Th crystal.

extended XYZ file:
```
19
Lattice="6.141 3.545 4.824 -6.141 3.545 4.824 0.000 -7.091 4.824" Properties=species:S:1:pos:R:3 pbc="T T T"
Nd -0.857 -3.267 6.469
Nd -3.258 -0.892 8.003
Nd -2.401 2.376 6.469
Nd 2.401 -2.376 8.003
Nd 3.258 0.892 6.469
Nd 0.857 3.267 8.003
Ho -5.765 1.464 6.215
Ho -4.150 -4.260 8.257
Ho -1.907 -0.577 4.422
Ho 1.615 -5.724 6.215
Ho 1.453 -1.363 4.422
Ho 0.454 1.940 4.422
Ho -0.454 -1.940 10.049
Ho -1.453 1.363 10.049
Ho -1.615 5.724 8.257
Ho 1.907 0.577 10.049
Ho 4.150 4.260 6.215
Ho 5.765 -1.464 8.257
Th 0.000 0.000 7.236
```

E_form: 0.17 eV per atom
space-group type: No. 148
energy relative to the lowest polymorph listed for this composition: 0 meV per atom

# 7
The following is a DFT calculation (PBE) of a relaxed NdHo5Th5 crystal.

extended XYZ file:
```
11
Lattice="6.314 0.000 0.000 -3.157 5.468 0.000 0.000 0.000 11.173" Properties=species:S:1:pos:R:3 pbc="T T T"
Nd 0.000 0.000 0.000
Ho 0.000 0.000 3.711
Ho 0.000 0.000 7.462
Ho 0.000 3.646 2.054
Ho 0.000 3.646 9.119
Ho 3.157 1.823 0.000
Th -1.516 2.770 5.586
Th 1.516 2.770 5.586
Th 0.000 5.396 5.586
Th 3.157 1.823 3.007
Th 3.157 1.823 8.166
```

E_form: 0.36 eV per atom
space-group type: No. 187

# 8
The following is a DFT calculation (PBE) of a relaxed NdHo2Th crystal.

extended XYZ file:
```
4
Lattice="3.595 -5.004 0.000 3.595 5.004 0.000 0.000 0.000 3.581" Properties=species:S:1:pos:R:3 pbc="T T T"
Nd 0.000 0.000 0.000
Ho 1.797 2.502 1.790
Ho 1.797 -2.502 1.790
Th 3.595 0.000 0.000
```

E_form: 0.03 eV per atom
space-group type: No. 65
energy relative to the lowest polymorph listed for this composition: 15 meV per atom

# 9
The following is a DFT calculation (PBE) of a relaxed NdHoTh14 crystal.

extended XYZ file:
```
16
Lattice="11.607 0.000 0.000 0.000 3.589 6.224 0.000 -3.589 6.224" Properties=species:S:1:pos:R:3 pbc="T T T"
Nd 0.000 0.000 0.000
Ho 0.000 0.000 6.215
Th 0.000 -1.802 9.294
Th 0.000 1.802 9.294
Th 2.905 0.000 8.277
Th 2.915 -1.789 5.164
Th 2.915 1.789 5.164
Th 2.926 0.000 2.060
Th 5.804 0.000 4.131
Th 5.804 -1.791 7.240
Th 5.804 1.791 7.240
Th 5.804 0.000 10.353
Th 8.682 0.000 2.060
Th 8.693 -1.789 5.164
Th 8.693 1.789 5.164
Th 8.702 0.000 8.277
```

E_form: 0.04 eV per atom
space-group type: No. 38

# 10
The following is a DFT calculation (PBE) of a relaxed Nd3Ho8Th3 crystal.

extended XYZ file:
```
14
Lattice="-2.825 5.367 7.536 2.825 -5.367 7.536 2.825 5.367 -7.536" Properties=species:S:1:pos:R:3 pbc="T T T"
Nd 0.000 0.000 0.000
Nd 0.000 3.320 0.000
Nd 0.000 7.414 0.000
Ho 2.825 1.716 -1.564
Ho 2.825 3.672 -4.149
Ho 2.825 1.716 1.564
Ho 0.000 1.695 3.388
Ho 2.825 3.672 4.149
Ho 0.000 3.651 5.972
Ho 0.000 1.695 11.685
Ho 0.000 3.651 9.100
Th 2.825 0.000 4.728
Th 0.000 0.000 7.536
Th 0.000 5.367 2.809
```

E_form: 0.16 eV per atom
space-group type: No. 71

# 11
The following is a DFT calculation (PBE) of a relaxed Nd12Ho6Th crystal.

extended XYZ file:
```
19
Lattice="6.091 3.516 5.100 -6.091 3.516 5.100 0.000 -7.033 5.100" Properties=species:S:1:pos:R:3 pbc="T T T"
Nd -2.079 -0.065 2.905
Nd 1.096 -1.768 2.905
Nd -2.102 -0.523 6.352
Nd 0.983 1.833 2.905
Nd -0.598 -2.082 8.947
Nd 1.504 -1.559 6.352
Nd -1.504 1.559 8.947
Nd 0.598 2.082 6.352
Nd -0.983 -1.833 12.394
Nd 2.102 0.523 8.947
Nd -1.096 1.768 12.394
Nd 2.079 0.065 12.394
Ho -0.955 -3.701 5.386
Ho -2.728 2.677 5.386
Ho -3.682 -1.024 9.913
Ho 3.682 1.024 5.386
Ho 2.728 -2.677 9.913
Ho 0.955 3.701 9.913
Th 0.000 0.000 0.000
```

E_form: 0.13 eV per atom
space-group type: No. 148
energy relative to the lowest polymorph listed for this composition: 0 meV per atom

# 12
The following is a DFT calculation (PBE) of a relaxed Nd3Ho5Th crystal.

extended XYZ file:
```
18
Lattice="9.775 0.000 0.000 -4.887 8.465 0.000 0.000 0.000 7.051" Properties=species:S:1:pos:R:3 pbc="T T T"
Nd -1.645 2.850 1.763
Nd -3.242 5.616 5.288
Nd 3.290 0.000 1.763
Nd 1.645 2.850 5.288
Nd 6.484 0.000 5.288
Nd 3.242 5.616 1.763
Ho -1.610 2.788 5.288
Ho -3.277 5.677 1.763
Ho 3.220 0.000 5.288
Ho 1.610 2.788 1.763
Ho 0.000 5.643 0.000
Ho 0.000 5.643 3.526
Ho 4.887 2.822 0.000
Ho 4.887 2.822 3.526
Ho 6.555 0.000 1.763
Ho 3.277 5.677 5.288
Th 0.000 0.000 0.000
Th 0.000 0.000 3.526
```

E_form: 0.06 eV per atom
space-group type: No. 193

# 13
The following is a DFT calculation (PBE) of a relaxed Nd8Ho3Th2 crystal.

extended XYZ file:
```
26
Lattice="6.293 0.000 0.000 -2.091 7.827 0.000 -0.039 -3.303 17.863" Properties=species:S:1:pos:R:3 pbc="T T T"
Nd -0.007 0.019 4.807
Nd -1.085 3.995 9.611
Nd -0.002 0.074 14.386
Nd -1.040 7.313 1.399
Nd 0.029 3.403 6.137
Nd -0.033 3.356 15.760
Nd 2.052 -1.110 7.565
Nd 2.053 -1.025 17.185
Nd 2.110 5.550 0.678
Nd 2.110 5.635 10.298
Nd 4.196 1.168 2.104
Nd 4.134 1.121 11.726
Nd 5.203 -2.789 16.464
Nd 4.164 4.450 3.478
Nd 5.247 0.530 8.253
Nd 4.169 4.506 13.056
Ho -1.046 3.914 0.000
Ho 1.065 2.799 12.370
Ho 1.076 6.134 4.143
Ho 2.081 2.262 8.932
Ho 3.087 -1.609 13.721
Ho 3.098 1.726 5.493
Th 1.047 -0.489 10.988
Th 1.048 2.815 2.741
Th 3.114 1.709 15.122
Th 3.116 5.013 6.875
```

E_form: 0.04 eV per atom
space-group type: No. 2

# 14
The following is a DFT calculation (PBE) of a relaxed Nd3Ho6Th2 crystal.

extended XYZ file:
```
11
Lattice="3.081 -5.346 0.000 3.081 5.346 0.000 -2.087 0.000 11.374" Properties=species:S:1:pos:R:3 pbc="T T T"
Nd 0.000 0.000 0.000
Nd 3.081 1.759 0.000
Nd 3.081 -1.759 0.000
Ho 1.019 1.780 2.923
Ho -0.026 0.000 8.456
Ho 1.019 -1.780 2.923
Ho 3.057 1.780 8.451
Ho 4.102 0.000 2.918
Ho 3.057 -1.780 8.451
Th 2.038 3.576 5.687
Th 2.038 -3.576 5.687
```

E_form: 0.21 eV per atom
space-group type: No. 12

# 15
The following is a DFT calculation (PBE) of a relaxed Nd7Ho16Th6 crystal.

extended XYZ file:
```
29
Lattice="0.000 7.860 7.860 7.860 0.000 7.860 7.860 7.860 0.000" Properties=species:S:1:pos:R:3 pbc="T T T"
Nd 0.000 0.000 0.000
Nd 3.930 3.930 0.000
Nd 3.930 0.000 3.930
Nd 7.860 3.930 3.930
Nd 0.000 3.930 3.930
Nd 3.930 7.860 3.930
Nd 3.930 3.930 7.860
Ho 10.346 5.373 5.373
Ho 1.911 1.911 1.911
Ho 5.949 5.949 1.911
Ho 5.949 1.911 5.949
Ho 5.373 5.373 5.373
Ho 10.346 10.346 5.373
Ho 10.346 5.373 10.346
Ho 13.809 9.771 9.771
Ho 1.911 5.949 5.949
Ho 5.373 10.346 5.373
Ho 5.373 5.373 10.346
Ho 10.346 10.346 10.346
Ho 9.771 13.809 9.771
Ho 9.771 9.771 13.809
Ho 13.809 13.809 13.809
Ho 5.373 10.346 10.346
Th 7.860 7.860 5.203
Th 7.860 5.203 7.860
Th 10.517 7.860 7.860
Th 5.203 7.860 7.860
Th 7.860 10.517 7.860
Th 7.860 7.860 10.517
```

E_form: 0.33 eV per atom
space-group type: No. 225

# 16
The following is a DFT calculation (PBE) of a relaxed Nd4Ho6Th crystal.

extended XYZ file:
```
22
Lattice="2.892 -4.834 0.000 2.892 4.834 0.000 0.000 0.000 25.902" Properties=species:S:1:pos:R:3 pbc="T T T"
Nd 2.892 4.525 16.141
Nd 2.892 4.525 22.711
Nd 2.892 1.511 14.085
Nd 2.892 1.511 24.768
Nd 2.892 -1.511 1.134
Nd 2.892 -1.511 11.817
Nd 2.892 -4.525 3.190
Nd 2.892 -4.525 9.760
Ho 0.000 0.000 0.000
Ho 0.000 0.000 12.951
Ho 2.892 4.547 19.426
Ho 2.892 1.831 2.663
Ho 2.892 1.831 10.288
Ho 2.892 1.336 17.718
Ho 2.892 1.336 21.134
Ho 2.892 -1.336 4.768
Ho 2.892 -1.336 8.183
Ho 2.892 -1.831 15.614
Ho 2.892 -1.831 23.238
Ho 2.892 -4.547 6.475
Th 2.892 1.869 6.475
Th 2.892 -1.869 19.426
```

E_form: 0.13 eV per atom
space-group type: No. 63

# 17
The following is a DFT calculation (PBE) of a relaxed Nd7Ho3Th crystal.

extended XYZ file:
```
11
Lattice="7.230 0.000 0.000 -3.615 6.261 0.000 0.000 0.000 8.698" Properties=species:S:1:pos:R:3 pbc="T T T"
Nd 0.000 0.000 0.000
Nd 0.000 2.078 5.737
Nd -1.815 5.222 5.737
Nd 3.615 0.037 0.005
Nd 1.840 3.112 0.005
Nd 1.815 5.222 5.737
Nd 5.390 3.112 0.005
Ho 1.838 1.061 2.929
Ho 5.392 1.061 2.929
Ho 3.615 4.139 2.929
Th 3.615 2.087 5.782
```

E_form: 0.19 eV per atom
space-group type: No. 156